Record 1
The following is a PBE calculation of Sr2CaSi after structural relaxation, from Alexandria via LeMat-Bulk.

Cell and atoms, written as POSCAR:
```
Sr2CaSi
1.0
-6.683 5.956 0.396
-5.476 3.717 6.041
7.880 -2.342 -3.566
Sr Si Ca
2 1 1
direct
0.409 0.409 0.000 Sr
0.091 0.091 0.000 Sr
0.250 0.750 0.500 Si
0.750 0.250 0.500 Ca
```

Properties
- Formation energy (no corrections): -0.136 eV per atom
- Magnetization: 0.0 μB per formula unit
- ρ: 2.612 g cm⁻³

=====

Record 2
The following is a PBE calculation of SrCa2Si after structural relaxation, from Alexandria via LeMat-Bulk.

Cell and atoms, written as POSCAR:
```
SrCa2Si
1.0
8.876 -0.040 -0.024
7.650 4.501 -0.024
7.650 2.065 3.999
Ca Sr Si
2 1 1
direct
0.537 0.537 0.537 Ca
0.963 0.963 0.963 Ca
0.750 0.750 0.750 Sr
0.250 0.250 0.250 Si
```

Properties
- Formation energy (no corrections): -0.091 eV per atom
- Magnetization: 0.0 μB per formula unit
- ρ: 2.009 g cm⁻³

=====

Record 3
The following is a PBE calculation of SrCaSi after structural relaxation, from Alexandria via LeMat-Bulk.

Cell and atoms, written as POSCAR:
```
SrCaSi
1.0
-1.460 0.116 4.702
0.612 -4.877 0.310
7.357 1.066 2.258
Si Sr Ca
2 2 2
direct
0.000 0.500 0.729 Si
0.500 0.000 0.271 Si
0.000 0.500 0.134 Sr
0.500 0.000 0.866 Sr
0.000 0.000 0.500 Ca
0.500 0.500 0.500 Ca
```

Properties
- Formation energy (no corrections): -0.405 eV per atom
- Magnetization: 0.0 μB per formula unit
- ρ: 2.746 g cm⁻³

=====

Record 4
The following is a PBE calculation of SrCaSi after structural relaxation, from Alexandria via LeMat-Bulk.

Cell and atoms, written as POSCAR:
```
SrCaSi
1.0
5.172 0.000 0.000
-2.586 4.479 0.000
0.000 0.000 7.620
Sr Ca Si
2 2 2
direct
0.000 0.000 0.307 Sr
0.000 0.000 0.807 Sr
0.667 0.333 0.561 Ca
0.333 0.667 0.061 Ca
0.667 0.333 0.047 Si
0.333 0.667 0.547 Si
```

Properties
- Formation energy (no corrections): -0.362 eV per atom
- Magnetization: 0.0 μB per formula unit
- ρ: 2.930 g cm⁻³